(1)
VASP calculation (PBE) on a geometry-optimized Ac2PmPrY2 structure.

For the size of the total moment, the calculation gives 0.0 μB/f.u. The formation energy is 0.274 eV/atom. The crystal system is orthorhombic.

The space group is Pnnm (No. 58) and the conventional cell measures 6.7660, 19.0138 and 3.6079 Å, with angles of 90.00, 90.00 and 90.00 degrees. The distinct sites, in fractional coordinates, are Ac at (0.2156, 0.1915, 0.0000), Pm at (0.0000, 0.0000, 0.0000), Pr at (0.0000, 0.5000, 0.0000) and Y at (0.2146, 0.3609, 0.5000).

(2)
VASP calculation (PBE) on a geometry-optimized AcPm2Pr6Y structure.

For the size of the total moment, the calculation gives 0.0 μB/f.u. The formation energy is 0.109 eV/atom. The crystal system is monoclinic.

The space group is C2/c (No. 15) and the conventional cell measures 9.4254, 15.7397 and 9.9787 Å, with angles of 90.00, 96.77 and 90.00 degrees. The distinct sites, in fractional coordinates, are Ac at (0.0000, 0.0233, 0.2500), Pm at (0.2453, 0.4452, 0.4554), Pr at (0.0635, 0.1875, 0.9467), Pr at (0.1024, 0.3949, 0.1187), Pr at (0.2121, 0.2267, 0.3144) and Y at (0.0000, 0.4099, 0.7500).

(3)
VASP calculation (PBE) on a geometry-optimized Ac2Pm4Pr2Y structure.

For the size of the total moment, the calculation gives 0.0 μB/f.u. The formation energy is 0.029 eV/atom. The crystal system is monoclinic.

The space group is C2/m (No. 12) and the conventional cell measures 19.4708, 3.7770 and 10.0508 Å, with angles of 90.00, 115.75 and 90.00 degrees. The distinct sites, in fractional coordinates, are Ac at (0.1456, 0.0000, 0.1642), Pm at (0.0184, 0.5000, 0.8204), Pm at (0.1839, 0.0000, 0.8315), Pr at (0.1645, 0.5000, 0.5037) and Y at (0.0000, 0.0000, 0.5000).

(4)
VASP calculation (PBE) on a geometry-optimized AcPmPr2Y2 structure.

For the size of the total moment, the calculation gives 0.0 μB/f.u. The formation energy is 0.055 eV/atom. The crystal system is orthorhombic.

The space group is Pmma (No. 51) and the conventional cell measures 7.3111, 5.8234 and 10.0644 Å, with angles of 90.00, 90.00 and 90.00 degrees. The distinct sites, in fractional coordinates, are Ac at (0.0000, 0.0000, 0.0000), Pm at (0.2500, 0.5000, 0.1756), Pr at (0.2500, 0.0000, 0.3359), Pr at (0.2500, 0.5000, 0.8309), Y at (0.0000, 0.5000, 0.5000) and Y at (0.2500, 0.0000, 0.6594).

(5)
VASP calculation (PBE) on a geometry-optimized AcPmPr2Y structure.

For the size of the total moment, the calculation gives 0.0 μB/f.u. The formation energy is 0.039 eV/atom. The crystal system is monoclinic.

The space group is P2_1/m (No. 11) and the conventional cell measures 6.5527, 5.9953 and 9.9861 Å, with angles of 90.00, 109.00 and 90.00 degrees. The distinct sites, in fractional coordinates, are Ac at (0.2344, 0.2500, 0.3004), Pm at (0.0407, 0.2500, 0.9000), Pr at (0.3631, 0.7500, 0.9046), Pr at (0.4285, 0.2500, 0.6999) and Y at (0.1609, 0.7500, 0.5010).

(6)
VASP calculation (PBE) on a geometry-optimized AcPm2Pr2Y structure.

For the size of the total moment, the calculation gives 0.0 μB/f.u. The formation energy is 0.056 eV/atom. The crystal system is orthorhombic.

The space group is Pmma (No. 51) and the conventional cell measures 7.3090, 5.8615 and 10.1363 Å, with angles of 90.00, 90.00 and 90.00 degrees. The distinct sites, in fractional coordinates, are Ac at (0.0000, 0.0000, 0.0000), Pm at (0.2500, 0.0000, 0.3380), Pm at (0.2500, 0.5000, 0.8271), Pr at (0.0000, 0.5000, 0.5000), Pr at (0.2500, 0.0000, 0.6662) and Y at (0.2500, 0.5000, 0.1669).

(7)
VASP calculation (PBE) on a geometry-optimized Ac2PmPt structure.

For the size of the total moment, the calculation gives 0.0 μB/f.u. The formation energy is -0.604 eV/atom. As for the excess energy over the best structure of this formula in the dataset: 0.00 eV/f.u. The crystal system is orthorhombic.

The space group is Pnma (No. 62) and the conventional cell measures 7.5513, 10.5980 and 6.9361 Å, with angles of 90.00, 90.00 and 90.00 degrees. The distinct sites, in fractional coordinates, are Ac at (0.1795, 0.0660, 0.1729), Pm at (0.0376, 0.2500, 0.6603) and Pt at (0.1236, 0.7500, 0.9500).

(8)
VASP calculation (PBE) on a geometry-optimized AcPm2Pt structure.

For the size of the total moment, the calculation gives 0.0 μB/f.u. The formation energy is -0.624 eV/atom. As for the excess energy over the best structure of this formula in the dataset: 0.00 eV/f.u. The crystal system is orthorhombic.

The space group is Pnma (No. 62) and the conventional cell measures 7.4205, 10.2205 and 6.7604 Å, with angles of 90.00, 90.00 and 90.00 degrees. The distinct sites, in fractional coordinates, are Ac at (0.0278, 0.2500, 0.1421), Pm at (0.1756, 0.0648, 0.6700) and Pt at (0.1162, 0.7500, 0.4163).

(9)
VASP calculation (PBE) on a geometry-optimized AcPm4Pt4 structure.

For the size of the total moment, the calculation gives 0.0 μB/f.u. The formation energy is -1.006 eV/atom. The crystal system is tetragonal.

The space group is I4/m (No. 87) and the conventional cell measures 9.5003, 9.5003 and 5.8681 Å, with angles of 90.00, 90.00 and 90.00 degrees. The distinct sites, in fractional coordinates, are Ac at (0.0000, 0.0000, 0.0000), Pm at (0.1047, 0.6794, 0.5000) and Pt at (0.1097, 0.6988, 0.0000).

(10)
VASP calculation (PBE) on a geometry-optimized AcPmPt2 structure.

For the size of the total moment, the calculation gives 0.0 μB/f.u. The formation energy is -1.008 eV/atom. As for the excess energy over the best structure of this formula in the dataset: 0.59 eV/f.u. The crystal system is cubic.

The space group is Fm-3m (No. 225) and the conventional cell measures 7.3765, 7.3765 and 7.3765 Å, with angles of 90.00, 90.00 and 90.00 degrees. The distinct sites, in fractional coordinates, are Ac at (0.0000, 0.0000, 0.0000), Pm at (0.0000, 0.0000, 0.5000) and Pt at (0.2500, 0.2500, 0.2500).

(11)
VASP calculation (PBE) on a geometry-optimized AcPm5Pt2 structure.

For the size of the total moment, the calculation gives 0.0 μB/f.u. The formation energy is -0.530 eV/atom. The crystal system is orthorhombic.

The space group is Immm (No. 71) and the conventional cell measures 4.8146, 7.9035 and 13.5768 Å, with angles of 90.00, 90.00 and 90.00 degrees. The distinct sites, in fractional coordinates, are Ac at (0.0000, 0.0000, 0.0000), Pm at (0.0000, 0.2236, 0.3488), Pm at (0.0000, 0.5000, 0.0000) and Pt at (0.0000, 0.5000, 0.2104).

(12)
VASP calculation (PBE) on a geometry-optimized AcPmPt structure.

For the size of the total moment, the calculation gives 0.0 μB/f.u. The formation energy is -0.782 eV/atom. As for the excess energy over the best structure of this formula in the dataset: 0.00 eV/f.u. The crystal system is monoclinic.

The space group is C2/m (No. 12) and the conventional cell measures 7.1136, 7.1139 and 7.3326 Å, with angles of 90.00, 90.06 and 90.00 degrees. The distinct sites, in fractional coordinates, are Ac at (0.2500, 0.0000, 0.1162), Pm at (0.0000, 0.2499, 0.5000) and Pt at (0.2505, 0.0000, 0.7106).

(13)
VASP calculation (PBE) on a geometry-optimized AcPm2Pt structure.

For the size of the total moment, the calculation gives 0.0 μB/f.u. The formation energy is -0.119 eV/atom. As for the excess energy over the best structure of this formula in the dataset: 2.02 eV/f.u. The crystal system is cubic.

The space group is Fm-3m (No. 225) and the conventional cell measures 7.6115, 7.6115 and 7.6115 Å, with angles of 90.00, 90.00 and 90.00 degrees. The distinct sites, in fractional coordinates, are Ac at (0.0000, 0.0000, 0.0000), Pm at (0.2500, 0.2500, 0.2500) and Pt at (0.0000, 0.0000, 0.5000).

(14)
VASP calculation (PBE) on a geometry-optimized Ac2PmPt structure.

For the size of the total moment, the calculation gives 0.0 μB/f.u. The formation energy is -0.460 eV/atom. As for the excess energy over the best structure of this formula in the dataset: 0.58 eV/f.u. The crystal system is tetragonal.

The space group is P4/mmm (No. 123) and the conventional cell measures 3.8578, 3.8578 and 9.0744 Å, with angles of 90.00, 90.00 and 90.00 degrees. The distinct sites, in fractional coordinates, are Ac at (0.0000, 0.0000, 0.1972), Pm at (0.5000, 0.5000, 0.5000) and Pt at (0.5000, 0.5000, 0.0000).

(15)
VASP calculation (PBE) on a geometry-optimized AcPm2Pt structure.

For the size of the total moment, the calculation gives 0.0 μB/f.u. The formation energy is -0.603 eV/atom. As for the excess energy over the best structure of this formula in the dataset: 0.09 eV/f.u. The crystal system is orthorhombic.

The space group is Cmcm (No. 63) and the conventional cell measures 3.9989, 12.4228 and 10.2089 Å, with angles of 90.00, 90.00 and 90.00 degrees. The distinct sites, in fractional coordinates, are Ac at (0.0000, 0.0775, 0.2500), Pm at (0.0000, 0.3584, 0.0650) and Pt at (0.0000, 0.2274, 0.7500).

(16)
VASP calculation (PBE) on a geometry-optimized AcPm2Pt structure.

For the size of the total moment, the calculation gives 0.0 μB/f.u. The formation energy is 0.184 eV/atom. As for the excess energy over the best structure of this formula in the dataset: 3.23 eV/f.u. The crystal system is trigonal.

The space group is R-3m (No. 166, hexagonal axes) and the conventional cell measures 3.6192, 3.6192 and 34.7226 Å, with angles of 90.00, 90.00 and 120.00 degrees. The distinct sites, in fractional coordinates, are Ac at (0.0000, 0.0000, 0.0000), Pm at (0.0000, 0.0000, 0.4230) and Pt at (0.0000, 0.0000, 0.5000).

(17)
VASP calculation (PBE) on a geometry-optimized AcPm3Pt structure.

For the size of the total moment, the calculation gives 0.0 μB/f.u. The formation energy is -0.339 eV/atom. As for the excess energy over the best structure of this formula in the dataset: 0.18 eV/f.u. The crystal system is cubic.

The space group is Pm-3m (No. 221) and the conventional cell measures 5.6914, 5.6914 and 5.6914 Å, with angles of 90.00, 90.00 and 90.00 degrees. The distinct sites, in fractional coordinates, are Ac at (0.0000, 0.0000, 0.0000), Pm at (0.0000, 0.5000, 0.5000) and Pt at (0.5000, 0.5000, 0.5000).

(18)
VASP calculation (PBE) on a geometry-optimized AcPmPt structure.

For the size of the total moment, the calculation gives 0.0 μB/f.u. The formation energy is -0.674 eV/atom. As for the excess energy over the best structure of this formula in the dataset: 0.32 eV/f.u. The crystal system is monoclinic.

The space group is P2_1/m (No. 11) and the conventional cell measures 5.2087, 5.3482 and 7.1177 Å, with angles of 90.00, 111.11 and 90.00 degrees. The distinct sites, in fractional coordinates, are Ac at (0.1076, 0.2500, 0.2162), Pm at (0.3735, 0.2500, 0.7418) and Pt at (0.2325, 0.7500, 0.4728).

(19)
VASP calculation (PBE) on a geometry-optimized AcPmPt structure.

For the size of the total moment, the calculation gives 0.0 μB/f.u. The formation energy is -0.743 eV/atom. As for the excess energy over the best structure of this formula in the dataset: 0.12 eV/f.u. The crystal system is monoclinic.

The space group is P2_1/c (No. 14) and the conventional cell measures 6.9760, 7.3040 and 10.5605 Å, with angles of 90.00, 128.10 and 90.00 degrees. The distinct sites, in fractional coordinates, are Ac at (0.1431, 0.0849, 0.3830), Pm at (0.3658, 0.5765, 0.6140) and Pt at (0.3664, 0.7414, 0.3612).

(20)
VASP calculation (PBE) on a geometry-optimized AcPm2Pt3 structure.

For the size of the total moment, the calculation gives 0.0 μB/f.u. The formation energy is -1.093 eV/atom. The crystal system is orthorhombic.

The space group is Immm (No. 71) and the conventional cell measures 4.2575, 6.0030 and 12.6880 Å, with angles of 90.00, 90.00 and 90.00 degrees. The distinct sites, in fractional coordinates, are Ac at (0.0000, 0.0000, 0.0000), Pm at (0.0000, 0.0000, 0.3343), Pt at (0.0000, 0.5000, 0.0000) and Pt at (0.0000, 0.5000, 0.3253).